DFT (GGA-PBEsol) results for a relaxed structure of TmMg5.

The calculation puts the total energy at -0.082 Ha/atom. The formation energy from the elements is 0.014 eV per atom. As for the theoretical density: 3.38 g/cm3.

```
TmMg5
1.0
3.210 0.000 0.000
0.000 5.224 0.000
-1.605 0.000 8.522
Tm Mg
1 5
Direct
0.222 0.500 0.443 Tm
0.663 0.000 0.327 Mg
0.001 0.000 0.002 Mg
0.334 0.000 0.668 Mg
0.892 0.500 0.784 Mg
0.554 0.500 0.109 Mg
```